# PBE SmHoMgTl, optimized geometry
# Energy of formation in kcal/mol of atoms: -5.52
# Total energy in eV per atom: -3.554
data_SmHoMgTl
_chemical_formula_sum 'Sm4 Ho4 Mg4 Tl4'
_symmetry_space_group_name_H-M 'F -4 3 m'
_symmetry_Int_Tables_number 216
_symmetry_space_group_name_Hall 'F -4 2 3'
_cell_length_a 7.6048
_cell_length_b 7.6048
_cell_length_c 7.6048
_cell_angle_alpha 90.00
_cell_angle_beta 90.00
_cell_angle_gamma 90.00
loop_
_atom_site_label
_atom_site_type_symbol
_atom_site_fract_x
_atom_site_fract_y
_atom_site_fract_z
Sm1 Sm 0.0000 0.0000 0.0000
Ho1 Ho 0.0000 0.0000 0.5000
Mg1 Mg 0.2500 0.2500 0.2500
Tl1 Tl 0.2500 0.2500 0.7500